LiFeHSe2: optimized geometry, PBE.

Cell: 4.8719 4.8719 3.2728 Å, 90.00 90.00 90.00°
Last column: nearest neighbours and their distance in Å.
Atoms (fractional coordinates):
Li: 0.0000 0.0000 0.0000  8 Se 2.93, 2 Li 3.27
Fe: 0.5000 0.5000 0.5000  2 H 1.64
H: 0.5000 0.5000 0.0000  2 Fe 1.64
Se: 0.0000 0.5000 0.5000  2 Fe 2.44
Se: 0.5000 0.0000 0.5000  2 Fe 2.44

Its magnetization is 2.6 μB per cell. The calculation puts the total energy at -4.327 eV/atom.

***

Pm2CdP3Pt12: optimized geometry, PBE.

Cell: 7.6305 7.6305 7.6305 Å, 66.05 66.05 66.05°
Last column: nearest neighbours and their distance in Å.
Atoms (fractional coordinates):
Pm: 0.1047 0.1047 0.1047  6 Pt 2.89-3.00
Pm: 0.8953 0.8953 0.8953  6 Pt 2.89-3.00
Cd: 0.5000 0.5000 0.5000  6 Pt 2.62
P: 0.0000 0.5000 0.5000  6 Pt 2.29-2.33
P: 0.5000 0.0000 0.5000  6 Pt 2.29-2.33
P: 0.5000 0.5000 0.0000  6 Pt 2.29-2.33
Pt: 0.1112 0.6370 0.6370  1 P 2.29
Pt: 0.1581 0.1581 0.6027  2 P 2.33
Pt: 0.1581 0.6027 0.1581  2 P 2.33
Pt: 0.3630 0.3630 0.8888  1 P 2.29
Pt: 0.3630 0.8888 0.3630  1 P 2.29
Pt: 0.3973 0.8419 0.8419  2 P 2.33
Pt: 0.6027 0.1581 0.1581  2 P 2.33
Pt: 0.6370 0.1112 0.6370  1 P 2.29
Pt: 0.6370 0.6370 0.1112  1 P 2.29
Pt: 0.8419 0.3973 0.8419  2 P 2.33
Pt: 0.8419 0.8419 0.3973  2 P 2.33
Pt: 0.8888 0.3630 0.3630  1 P 2.29

Its magnetization is 0.0 μB per cell. The calculation puts the total energy at -5.896 eV/atom.

***

Mg2BeIn: optimized geometry, PBE.

Cell: 3.0978 3.2221 7.6815 Å, 90.00 91.39 90.00°
Last column: nearest neighbours and their distance in Å.
Atoms (fractional coordinates):
Mg: 0.0086 0.0000 0.1999  4 Be 2.71-2.72
Mg: 0.9914 0.0000 0.8001  4 Be 2.71-2.72
Be: 0.5000 0.5000 0.0000  8 Mg 2.71-2.72
In: 0.5000 0.5000 0.5000  4 In 3.10-3.22, 8 Mg 3.17-3.25

Its magnetization is 0.0 μB per cell. The calculation puts the total energy at -2.241 eV/atom. Its energy above the most stable polymorph in this dataset is 0.0000 eV/atom.

***

LiCa2CuN2: optimized geometry, PBE.

Cell: 6.0773 7.5834 3.9467 Å, 90.00 90.00 90.00°
Last column: nearest neighbours and their distance in Å.
Atoms (fractional coordinates):
Li: 0.0000 0.0000 0.0000  4 N 2.53, 4 Ca 2.78
Li: 0.5000 0.5000 0.5000  4 N 2.53, 4 Ca 2.78
Ca: 0.1314 0.2362 0.5000  3 N 2.37-2.46
Ca: 0.3686 0.7362 0.0000  3 N 2.37-2.46
Ca: 0.6314 0.2638 0.0000  3 N 2.37-2.46
Ca: 0.8686 0.7638 0.5000  3 N 2.37-2.46
Cu: 0.0000 0.5000 0.0000  2 N 1.86
Cu: 0.5000 0.0000 0.5000  2 N 1.86
N: 0.2243 0.8923 0.5000  1 Cu 1.86
N: 0.2757 0.3923 0.0000  1 Cu 1.86
N: 0.7243 0.6077 0.0000  1 Cu 1.86
N: 0.7757 0.1077 0.5000  1 Cu 1.86

The raw formation energy comes out at -0.461 eV/atom. Its magnetization is 0.0 μB per cell. The calculation puts the total energy at -4.905 eV/atom. Its energy above the most stable polymorph in this dataset is 0.1798 eV/atom.

***

Sc2TeI3: optimized geometry, PBE.

Cell: 10.8459 10.8459 15.0035 Å, 132.52 132.52 21.50°
Last column: nearest neighbours and their distance in Å.
Atoms (fractional coordinates):
Sc: 0.0890 0.0890 0.2175  4 I 2.93-3.05, 2 Te 2.95-3.06
Sc: 0.3657 0.3657 0.0697  2 Te 2.86, 4 I 2.93-3.00
Sc: 0.6343 0.6343 0.9303  2 Te 2.86, 4 I 2.93-3.00
Sc: 0.9110 0.9110 0.7825  4 I 2.93-3.05, 2 Te 2.95-3.06
Te: 0.0935 0.0935 0.0182  4 Sc 2.86-3.06
Te: 0.9065 0.9065 0.9818  4 Sc 2.86-3.06
I: 0.1802 0.1802 0.8349  3 Sc 2.98-3.00
I: 0.2752 0.2752 0.6660  2 Sc 2.93
I: 0.4589 0.4589 0.6857  3 Sc 2.93-3.05
I: 0.5411 0.5411 0.3143  3 Sc 2.93-3.05
I: 0.7248 0.7248 0.3340  2 Sc 2.93
I: 0.8198 0.8198 0.1651  3 Sc 2.98-3.00

The raw formation energy comes out at -1.121 eV/atom. Its magnetization is 1.8 μB per cell. The calculation puts the total energy at -4.531 eV/atom. Its energy above the most stable polymorph in this dataset is 0.0502 eV/atom.

***

SrAlFe2: optimized geometry, PBE.

Cell: 4.7189 4.7189 4.7189 Å, 118.99 118.99 91.76°
Last column: nearest neighbours and their distance in Å.
Atoms (fractional coordinates):
Sr: 0.0000 0.0000 0.0000  4 Al 2.90, 4 Fe 2.90
Al: 0.7500 0.2500 0.5000  4 Fe 2.90, 4 Sr 2.90
Fe: 0.2500 0.7500 0.5000  4 Fe 2.90, 4 Sr 2.90
Fe: 0.5000 0.5000 0.0000  4 Fe 2.90, 4 Al 2.90

Its magnetization is 5.0 μB per cell. The calculation puts the total energy at -4.969 eV/atom.

***

RbTcAgF6: optimized geometry, PBE.

Cell: 6.4990 6.4990 8.3286 Å, 90.00 90.00 120.00°
Last column: nearest neighbours and their distance in Å.
Atoms (fractional coordinates):
Rb: 0.3333 0.6667 0.2500  6 F 2.80
Rb: 0.6667 0.3333 0.7500  6 F 2.80
Tc: 0.3333 0.6667 0.7500  6 F 1.98
Tc: 0.6667 0.3333 0.2500  6 F 1.98
Ag: 0.0000 0.0000 0.0000  6 F 2.58
Ag: 0.0000 0.0000 0.5000  6 F 2.58
F: 0.0938 0.4065 0.6156  1 Tc 1.98
F: 0.0938 0.6874 0.8844  1 Tc 1.98
F: 0.3126 0.4065 0.8844  1 Tc 1.98
F: 0.3126 0.9062 0.6156  1 Tc 1.98
F: 0.4065 0.0938 0.1156  1 Tc 1.98
F: 0.4065 0.3126 0.3844  1 Tc 1.98
F: 0.5935 0.6874 0.6156  1 Tc 1.98
F: 0.5935 0.9062 0.8844  1 Tc 1.98
F: 0.6874 0.0938 0.3844  1 Tc 1.98
F: 0.6874 0.5935 0.1156  1 Tc 1.98
F: 0.9062 0.3126 0.1156  1 Tc 1.98
F: 0.9062 0.5935 0.3844  1 Tc 1.98

The raw formation energy comes out at -2.078 eV/atom. Its magnetization is 6.0 μB per cell. The calculation puts the total energy at -4.901 eV/atom.

***

Y2OsAu: optimized geometry, PBE.

Cell: 6.1698 6.1698 6.1698 Å, 147.71 134.23 57.12°
Last column: nearest neighbours and their distance in Å.
Atoms (fractional coordinates):
Y: 0.0000 0.0000 0.0000  4 Os 2.96, 2 Y 3.26
Y: 0.7037 0.2037 0.5000  2 Os 2.94, 4 Au 3.06, 2 Y 3.26
Os: 0.4829 0.4829 0.0000  2 Au 2.81, 6 Y 2.94-2.96
Au: 0.2781 0.7781 0.5000  2 Os 2.81, 4 Y 3.06

Its magnetization is 0.0 μB per cell. The calculation puts the total energy at -7.102 eV/atom.